# Tb3NdTm12 PBE relaxed
# formation enthalpy at 0 K: 0.03 eV per atom
# E_tot: -4.495 eV/atom
data_Tb3NdTm12
_chemical_formula_sum 'Tb3 Nd1 Tm12'
_cell_length_a 4.966
_cell_length_b 4.966
_cell_length_c 19.881
_cell_angle_alpha 90.00
_cell_angle_beta 90.00
_cell_angle_gamma 90.00
_symmetry_space_group_name_H-M 'P 4/m m m'
_symmetry_Int_Tables_number 123
_symmetry_space_group_name_Hall '-P 4 2'
loop_
_atom_site_label
_atom_site_type_symbol
_atom_site_fract_x
_atom_site_fract_y
_atom_site_fract_z
_atom_site_occupancy
Tb1 Tb 0.000 0.000 0.000 1
Tb2 Tb 0.000 0.000 0.249 1
Nd1 Nd 0.000 0.000 0.500 1
Tm1 Tm 0.000 0.500 0.125 1
Tm2 Tm 0.000 0.500 0.373 1
Tm3 Tm 0.500 0.500 0.000 1
Tm4 Tm 0.500 0.500 0.249 1
Tm5 Tm 0.500 0.500 0.500 1

=====

# TbNdTm2 PBE relaxed
# excess energy over the best structure of this formula in the dataset: 22 meV/atom
# formation enthalpy at 0 K: 0.03 eV per atom
# E_tot: -4.559 eV/atom
data_TbNdTm2
_chemical_formula_sum 'Tb1 Nd1 Tm2'
_cell_length_a 3.560
_cell_length_b 3.560
_cell_length_c 10.024
_cell_angle_alpha 90.00
_cell_angle_beta 90.00
_cell_angle_gamma 90.00
_symmetry_space_group_name_H-M 'P 4/m m m'
_symmetry_Int_Tables_number 123
_symmetry_space_group_name_Hall '-P 4 2'
loop_
_atom_site_label
_atom_site_type_symbol
_atom_site_fract_x
_atom_site_fract_y
_atom_site_fract_z
_atom_site_occupancy
Tb1 Tb 0.000 0.000 0.000 1
Nd1 Nd 0.000 0.000 0.500 1
Tm1 Tm 0.500 0.500 0.246 1

=====

# TbNdTm PBE relaxed
# excess energy over the best structure of this formula in the dataset: 0 meV/atom
# formation enthalpy at 0 K: 0.02 eV per atom
# E_tot: -4.605 eV/atom
data_TbNdTm
_chemical_formula_sum 'Tb8 Nd8 Tm8'
_cell_length_a 6.185
_cell_length_b 10.707
_cell_length_c 11.883
_cell_angle_alpha 90.00
_cell_angle_beta 100.15
_cell_angle_gamma 90.00
_symmetry_space_group_name_H-M 'C 1 2/c 1'
_symmetry_Int_Tables_number 15
loop_
_symmetry_equiv_pos_as_xyz
'x,y,z'
'-x,-y,-z'
'-x,y,-z+1/2'
'x,-y,z+1/2'
'x+1/2,y+1/2,z'
'-x+1/2,-y+1/2,-z'
'-x+1/2,y+1/2,-z+1/2'
'x+1/2,-y+1/2,z+1/2'
loop_
_atom_site_label
_atom_site_type_symbol
_atom_site_fract_x
_atom_site_fract_y
_atom_site_fract_z
_atom_site_occupancy
Tb1 Tb 0.124 0.084 0.125 1
Nd1 Nd 0.126 0.415 0.125 1
Tm1 Tm 0.125 0.251 0.625 1

=====

# Tb2NdTm PBE relaxed
# excess energy over the best structure of this formula in the dataset: 129 meV/atom
# formation enthalpy at 0 K: 0.15 eV per atom
# E_tot: -4.478 eV/atom
data_Tb2NdTm
_chemical_formula_sum 'Tb8 Nd4 Tm4'
_cell_length_a 8.053
_cell_length_b 8.053
_cell_length_c 8.053
_cell_angle_alpha 90.00
_cell_angle_beta 90.00
_cell_angle_gamma 90.00
_symmetry_space_group_name_H-M 'F m -3 m'
_symmetry_Int_Tables_number 225
_symmetry_space_group_name_Hall '-F 4 2 3'
loop_
_atom_site_label
_atom_site_type_symbol
_atom_site_fract_x
_atom_site_fract_y
_atom_site_fract_z
_atom_site_occupancy
Tb1 Tb 0.250 0.250 0.250 1
Nd1 Nd 0.000 0.000 0.000 1
Tm1 Tm 0.000 0.000 0.500 1

=====

# Tb5NdTm5 PBE relaxed
# excess energy over the best structure of this formula in the dataset: 168 meV/atom
# formation enthalpy at 0 K: 0.31 eV per atom
# E_tot: -4.258 eV/atom
data_Tb5NdTm5
_chemical_formula_sum 'Tb5 Nd1 Tm5'
_cell_length_a 6.0147
_cell_length_b 6.0147
_cell_length_c 11.6676
_cell_angle_alpha 90.00
_cell_angle_beta 90.00
_cell_angle_gamma 120.00
_symmetry_space_group_name_H-M 'P -6 m 2'
_symmetry_Int_Tables_number 187
_symmetry_space_group_name_Hall 'P -6 2'
loop_
_atom_site_label
_atom_site_type_symbol
_atom_site_fract_x
_atom_site_fract_y
_atom_site_fract_z
_atom_site_occupancy
Tb1 Tb 0.0000 0.0000 0.0000 1
Tb2 Tb 0.3333 0.6667 0.3215 1
Tb3 Tb 0.6667 0.3333 0.1554 1
Nd1 Nd 0.3333 0.6667 0.0000 1
Tm1 Tm 0.0000 0.0000 0.2658 1
Tm2 Tm 0.3334 0.1667 0.5000 1

=====

# Tb4Nd7Tm PBE relaxed
# excess energy over the best structure of this formula in the dataset: 0 meV/atom
# formation enthalpy at 0 K: 0.01 eV per atom
# E_tot: -4.690 eV/atom
data_Tb4Nd7Tm
_chemical_formula_sum 'Tb4 Nd7 Tm1'
_cell_length_a 6.332
_cell_length_b 7.302
_cell_length_c 9.021
_cell_angle_alpha 89.97
_cell_angle_beta 76.49
_cell_angle_gamma 89.99
_symmetry_space_group_name_H-M 'P -1'
_symmetry_Int_Tables_number 2
loop_
_symmetry_equiv_pos_as_xyz
'x,y,z'
'-x,-y,-z'
loop_
_atom_site_label
_atom_site_type_symbol
_atom_site_fract_x
_atom_site_fract_y
_atom_site_fract_z
_atom_site_occupancy
Tb1 Tb 0.221 0.000 0.335 1
Tb2 Tb 0.277 0.249 0.669 1
Nd1 Nd 0.000 0.000 0.000 1
Nd2 Nd 0.221 0.500 0.334 1
Nd3 Nd 0.279 0.751 0.667 1
Nd4 Nd 0.499 0.249 0.999 1
Tm1 Tm 0.000 0.500 0.000 1

=====

# TbNdTm2 PBE relaxed
# excess energy over the best structure of this formula in the dataset: 0 meV/atom
# formation enthalpy at 0 K: 0.00 eV per atom
# E_tot: -4.582 eV/atom
data_TbNdTm2
_chemical_formula_sum 'Tb2 Nd2 Tm4'
_cell_length_a 6.181
_cell_length_b 3.572
_cell_length_c 11.448
_cell_angle_alpha 90.00
_cell_angle_beta 90.10
_cell_angle_gamma 90.00
_symmetry_space_group_name_H-M 'C 1 2/m 1'
_symmetry_Int_Tables_number 12
loop_
_symmetry_equiv_pos_as_xyz
'x,y,z'
'-x,-y,-z'
'-x,y,-z'
'x,-y,z'
'x+1/2,y+1/2,z'
'-x+1/2,-y+1/2,-z'
'-x+1/2,y+1/2,-z'
'x+1/2,-y+1/2,z'
loop_
_atom_site_label
_atom_site_type_symbol
_atom_site_fract_x
_atom_site_fract_y
_atom_site_fract_z
_atom_site_occupancy
Tb1 Tb 0.000 0.000 0.000 1
Nd1 Nd 0.000 0.000 0.500 1
Tm1 Tm 0.166 0.500 0.247 1

=====

# Tb4Nd3Tm3 PBE relaxed
# formation enthalpy at 0 K: 0.11 eV per atom
# E_tot: -4.517 eV/atom
data_Tb4Nd3Tm3
_chemical_formula_sum 'Tb8 Nd6 Tm6'
_cell_length_a 3.705
_cell_length_b 13.253
_cell_length_c 13.355
_cell_angle_alpha 90.00
_cell_angle_beta 90.00
_cell_angle_gamma 90.00
_symmetry_space_group_name_H-M 'A m m 2'
_symmetry_Int_Tables_number 38
loop_
_symmetry_equiv_pos_as_xyz
'x,y,z'
'-x,-y,z'
'-x,y,z'
'x,-y,z'
'x,y+1/2,z+1/2'
'-x,-y+1/2,z+1/2'
'-x,y+1/2,z+1/2'
'x,-y+1/2,z+1/2'
loop_
_atom_site_label
_atom_site_type_symbol
_atom_site_fract_x
_atom_site_fract_y
_atom_site_fract_z
_atom_site_occupancy
Tb1 Tb 0.000 0.000 0.000 1
Tb2 Tb 0.000 0.000 0.256 1
Tb3 Tb 0.000 0.126 0.632 1
Nd1 Nd 0.500 0.000 0.457 1
Nd2 Nd 0.500 0.173 0.128 1
Tm1 Tm 0.000 0.245 0.877 1
Tm2 Tm 0.500 0.000 0.802 1

=====

# Tb2NdTm4 PBE relaxed
# excess energy over the best structure of this formula in the dataset: 0 meV/atom
# formation enthalpy at 0 K: 0.04 eV per atom
# E_tot: -4.522 eV/atom
data_Tb2NdTm4
_chemical_formula_sum 'Tb4 Nd2 Tm8'
_cell_length_a 16.545
_cell_length_b 3.509
_cell_length_c 8.698
_cell_angle_alpha 90.00
_cell_angle_beta 119.60
_cell_angle_gamma 90.00
_symmetry_space_group_name_H-M 'C 1 2/m 1'
_symmetry_Int_Tables_number 12
loop_
_symmetry_equiv_pos_as_xyz
'x,y,z'
'-x,-y,-z'
'-x,y,-z'
'x,-y,z'
'x+1/2,y+1/2,z'
'-x+1/2,-y+1/2,-z'
'-x+1/2,y+1/2,-z'
'x+1/2,-y+1/2,z'
loop_
_atom_site_label
_atom_site_type_symbol
_atom_site_fract_x
_atom_site_fract_y
_atom_site_fract_z
_atom_site_occupancy
Tb1 Tb 0.070 0.000 0.429 1
Nd1 Nd 0.000 0.000 0.000 1
Tm1 Tm 0.144 0.500 0.837 1
Tm2 Tm 0.206 0.500 0.294 1

=====

# TbNdTm3 PBE relaxed
# excess energy over the best structure of this formula in the dataset: 291 meV/atom
# formation enthalpy at 0 K: 0.30 eV per atom
# E_tot: -4.263 eV/atom
data_TbNdTm3
_chemical_formula_sum 'Tb2 Nd2 Tm6'
_cell_length_a 3.593
_cell_length_b 11.455
_cell_length_c 8.571
_cell_angle_alpha 90.00
_cell_angle_beta 102.01
_cell_angle_gamma 90.00
_symmetry_space_group_name_H-M 'P 1 21/m 1'
_symmetry_Int_Tables_number 11
loop_
_symmetry_equiv_pos_as_xyz
'x,y,z'
'-x,-y,-z'
'-x,y+1/2,-z'
'x,-y+1/2,z'
loop_
_atom_site_label
_atom_site_type_symbol
_atom_site_fract_x
_atom_site_fract_y
_atom_site_fract_z
_atom_site_occupancy
Tb1 Tb 0.186 0.250 0.374 1
Nd1 Nd 0.493 0.750 0.975 1
Tm1 Tm 0.157 0.750 0.309 1
Tm2 Tm 0.339 0.001 0.681 1

=====

# TbNd2Tm8 PBE relaxed
# excess energy over the best structure of this formula in the dataset: 0 meV/atom
# formation enthalpy at 0 K: 0.16 eV per atom
# E_tot: -4.378 eV/atom
data_TbNd2Tm8
_chemical_formula_sum 'Tb2 Nd4 Tm16'
_cell_length_a 9.011
_cell_length_b 15.914
_cell_length_c 5.844
_cell_angle_alpha 90.00
_cell_angle_beta 123.22
_cell_angle_gamma 90.00
_symmetry_space_group_name_H-M 'C 1 2/m 1'
_symmetry_Int_Tables_number 12
loop_
_symmetry_equiv_pos_as_xyz
'x,y,z'
'-x,-y,-z'
'-x,y,-z'
'x,-y,z'
'x+1/2,y+1/2,z'
'-x+1/2,-y+1/2,-z'
'-x+1/2,y+1/2,-z'
'x+1/2,-y+1/2,z'
loop_
_atom_site_label
_atom_site_type_symbol
_atom_site_fract_x
_atom_site_fract_y
_atom_site_fract_z
_atom_site_occupancy
Tb1 Tb 0.000 0.000 0.000 1
Nd1 Nd 0.000 0.307 0.500 1
Tm1 Tm 0.000 0.208 0.000 1
Tm2 Tm 0.069 0.500 0.796 1
Tm3 Tm 0.214 0.116 0.674 1

=====

# Tb5Nd2Tm6 PBE relaxed
# formation enthalpy at 0 K: 0.10 eV per atom
# E_tot: -4.477 eV/atom
data_Tb5Nd2Tm6
_chemical_formula_sum 'Tb10 Nd4 Tm12'
_cell_length_a 11.625
_cell_length_b 20.171
_cell_length_c 3.558
_cell_angle_alpha 90.00
_cell_angle_beta 90.00
_cell_angle_gamma 90.00
_symmetry_space_group_name_H-M 'P b a m'
_symmetry_Int_Tables_number 55
loop_
_symmetry_equiv_pos_as_xyz
'x,y,z'
'-x,-y,-z'
'-x,-y,z'
'x,y,-z'
'x+1/2,-y+1/2,-z'
'-x+1/2,y+1/2,z'
'-x+1/2,y+1/2,-z'
'x+1/2,-y+1/2,z'
loop_
_atom_site_label
_atom_site_type_symbol
_atom_site_fract_x
_atom_site_fract_y
_atom_site_fract_z
_atom_site_occupancy
Tb1 Tb 0.000 0.000 0.000 1
Tb2 Tb 0.091 0.278 0.000 1
Tb3 Tb 0.200 0.551 0.000 1
Nd1 Nd 0.169 0.716 0.500 1
Tm1 Tm 0.060 0.422 0.500 1
Tm2 Tm 0.078 0.134 0.500 1
Tm3 Tm 0.180 0.873 0.000 1